VASP calculation (PBE) on a geometry-optimized Y2Tl3BiS6 structure.

The structure in POSCAR format:
```
Y2Tl3BiS6
1.0
3.531 -6.116 0.000
3.531 6.116 0.000
-2.351 0.000 7.490
Y Tl Bi S
2 3 1 6
direct
0.167 0.833 0.000 Y
0.833 0.167 0.000 Y
0.000 0.000 0.500 Tl
0.334 0.666 0.500 Tl
0.666 0.334 0.500 Tl
0.500 0.500 0.000 Bi
0.091 0.433 0.798 S
0.225 0.225 0.201 S
0.433 0.091 0.798 S
0.567 0.909 0.202 S
0.775 0.775 0.799 S
0.909 0.567 0.202 S
```

***

VASP calculation (PBE) on a geometry-optimized TlZnBiS3 structure.

The structure in POSCAR format:
```
TlZnBiS3
1.0
9.054 0.000 0.000
0.000 4.044 0.000
-2.131 0.000 9.122
Tl Zn Bi S
2 2 2 6
direct
0.184 0.250 0.216 Tl
0.816 0.750 0.784 Tl
0.086 0.250 0.601 Zn
0.914 0.750 0.399 Zn
0.342 0.750 0.857 Bi
0.658 0.250 0.143 Bi
0.128 0.250 0.859 S
0.182 0.750 0.516 S
0.429 0.750 0.147 S
0.571 0.250 0.853 S
0.818 0.250 0.484 S
0.872 0.750 0.141 S
```

***

Number 1: V 323.50 Å³ per cell, uncorrected formation energy -1.136 eV per atom. Number 2: V 333.98 Å³ per cell, uncorrected formation energy -0.497 eV per atom.